MnCu2Br: optimized geometry, PBE-GGA.

```
MnCu2Br
1.0
-3.634 3.634 2.573
3.634 -3.634 2.573
3.634 3.634 -2.573
Mn Cu Br
2 4 2
direct
0.000 0.000 0.000 Mn
0.750 0.250 0.500 Mn
0.125 0.625 0.000 Cu
0.375 0.375 0.500 Cu
0.625 0.125 0.000 Cu
0.875 0.875 0.500 Cu
0.250 0.750 0.500 Br
0.500 0.500 0.000 Br
```

## Properties
Polymorph energy (0 for the lowest one) in kJ/mol of atoms: 29.4
SG: I-42d (122)
DOS at the Fermi energy in states/eV/f.u.: 0.2
Calculated total energy in eV per atom: -4.280
Energy relative to the elements, uncorrected in eV/atom: 0.48
Calculated volume in Å³ per atom: 16.99